## CrInCu2 (PBE)

Data for crystalline CrInCu2 at its relaxed geometry.

Results
Volume (Å³ per atom): 15.3
Space group: P4/mmm
Electronic total energy (eV for the cell shown): -19.675
Total magnetic moment (μB per cell): 3.6
Formation energy from the elements (eV per formula unit): 0.88

Cell lengths 4.034, 4.034, 3.763 Å; angles 90.00, 90.00, 90.00 degrees
Atoms (fractional coordinates):
Cr: 0.000 0.000 0.000
In: 0.500 0.500 0.000
Cu: 0.000 0.500 0.500
Cu: 0.500 0.000 0.500